# 1
Material: AlCo2Cu
Method: DFT, PBE-GGA
State: optimized geometry

Unit cell a=2.7439 b=2.7439 c=6.2904 alpha=90.00 beta=90.00 gamma=90.00
Last column: nearest neighbours and their distance in Å.
Space group P4mm (No. 99)
Symmetry-distinct sites (fractional):
Al 0.0000 0.0000 0.0000  4 Co 2.48, 4 Cu 2.56, 4 Al 2.74
Co 0.0000 0.0000 0.4750  4 Co 2.42, 4 Cu 2.53
Co 0.5000 0.5000 0.2450  4 Co 2.42, 4 Al 2.48
Cu 0.5000 0.5000 0.7341  4 Co 2.53, 4 Al 2.56, 4 Cu 2.74



# 2
Material: Al5Co4Cu
Method: DFT, PBE-GGA
State: optimized geometry

Unit cell a=2.8552 b=2.8552 c=14.6488 alpha=90.00 beta=90.00 gamma=90.00
Last column: nearest neighbours and their distance in Å.
Space group P4/mmm (No. 123)
Symmetry-distinct sites (fractional):
Al 0.0000 0.0000 0.0000  8 Co 2.47
Al 0.0000 0.0000 0.1955  8 Co 2.48
Al 0.0000 0.0000 0.3902  4 Co 2.47, 4 Cu 2.58
Co 0.5000 0.5000 0.0974  8 Al 2.47-2.48
Co 0.5000 0.5000 0.2935  8 Al 2.47-2.48
Cu 0.5000 0.5000 0.5000  8 Al 2.58, 4 Cu 2.86



# 3
Material: AlCoCu
Method: DFT, PBE-GGA
State: optimized geometry

Unit cell a=4.0305 b=4.0305 c=2.5926 alpha=90.00 beta=90.00 gamma=120.00
Last column: nearest neighbours and their distance in Å.
Space group P3m1 (No. 156)
Symmetry-distinct sites (fractional):
Al 0.0000 0.0000 0.0000  3 Cu 2.42, 3 Co 2.50, 2 Al 2.59
Co 0.3333 0.6667 0.3525  3 Al 2.50, 3 Cu 2.53, 2 Co 2.59
Cu 0.6667 0.3333 0.7375  3 Al 2.42, 3 Co 2.53, 2 Cu 2.59

Energy above the lowest structure with this stoichiometry, meV/atom: 146



# 4
Material: Al12Co4Cu
Method: DFT, PBE-GGA
State: optimized geometry

Unit cell a=15.2476 b=8.0267 c=12.3855 alpha=90.00 beta=108.28 gamma=90.00
Last column: nearest neighbours and their distance in Å.
Space group Cm (No. 8)
Symmetry-distinct sites (fractional):
Al 0.0000 0.0000 0.0000  2 Co 2.37-2.40
Al 0.0028 0.0000 0.4277  2 Co 2.38-2.40, 1 Cu 2.60
Al 0.0257 0.5000 0.5059  2 Co 2.38-2.40, 1 Cu 2.59
Al 0.0285 0.5000 0.9336  2 Co 2.37-2.40
Al 0.0640 0.0000 0.2360  4 Co 2.45-2.60, 5 Al 2.60-2.70
Al 0.0788 0.2864 0.3522  2 Co 2.41-2.45, 1 Al 2.68
Al 0.0851 0.2843 0.1301  3 Co 2.45-2.65, 2 Al 2.68-2.70
Al 0.0974 0.0000 0.7479  2 Co 2.27
Al 0.1337 0.2087 0.9458  2 Co 2.41-2.45, 1 Cu 2.55, 2 Al 2.67-2.68
Al 0.1354 0.2222 0.5778  3 Co 2.51-2.74, 1 Cu 2.54, 5 Al 2.70-2.80
Al 0.1887 0.5000 0.8791  1 Cu 2.41, 4 Co 2.51-2.59, 3 Al 2.62-2.70
Al 0.2075 0.5000 0.2915  1 Cu 2.41, 3 Co 2.45-2.58
Al 0.2438 0.0000 0.2983  3 Co 2.41-2.54, 1 Al 2.60
Al 0.2555 0.2328 0.7936  3 Co 2.48-2.57, 1 Cu 2.65, 3 Al 2.67-2.73
Al 0.2643 0.2492 0.4668  4 Co 2.47-2.49, 4 Al 2.74-2.75
Al 0.2730 0.2329 0.1400  3 Co 2.48-2.57, 1 Cu 2.65, 3 Al 2.67-2.73
Al 0.2848 0.0000 0.6353  3 Co 2.41-2.54, 1 Al 2.60
Al 0.3209 0.5000 0.6421  1 Cu 2.42, 3 Co 2.45-2.58
Al 0.3398 0.5000 0.0545  1 Cu 2.41, 4 Co 2.51-2.59, 3 Al 2.62-2.70
Al 0.3931 0.2223 0.3558  3 Co 2.51-2.74, 1 Cu 2.54, 5 Al 2.70-2.80
Al 0.3948 0.2088 0.9878  2 Co 2.41-2.45, 1 Cu 2.55, 2 Al 2.67-2.68
Al 0.4310 0.0000 0.1856  2 Co 2.27
Al 0.4434 0.2843 0.8035  3 Co 2.45-2.65, 2 Al 2.68-2.70
Al 0.4497 0.2864 0.5814  2 Co 2.41-2.45, 1 Al 2.68
Al 0.4646 0.0000 0.6976  4 Co 2.45-2.60, 5 Al 2.60-2.70
Co 0.0823 0.2809 0.7473  6 Al 2.27-2.52
Co 0.1609 0.0000 0.0974  9 Al 2.37-2.65, 1 Cu 2.59
Co 0.1634 0.0000 0.4495  8 Al 2.38-2.60
Co 0.1719 0.5000 0.4710  7 Al 2.40-2.58, 1 Cu 2.57
Co 0.1776 0.5000 0.0767  8 Al 2.40-2.57
Co 0.3509 0.5000 0.8569  8 Al 2.40-2.57
Co 0.3566 0.5000 0.4626  7 Al 2.40-2.58, 1 Cu 2.57
Co 0.3651 0.0000 0.4841  8 Al 2.38-2.60
Co 0.3676 0.0000 0.8362  9 Al 2.37-2.65, 1 Cu 2.59
Co 0.4463 0.2810 0.1864  6 Al 2.27-2.52
Cu 0.1748 0.5000 0.6796  7 Al 2.41-2.65, 3 Co 2.55-2.57
Cu 0.2645 0.0000 0.9672  8 Al 2.55-2.82, 2 Co 2.59
Cu 0.3536 0.5000 0.2539  7 Al 2.41-2.65, 3 Co 2.56-2.57



Number 1: energy of formation from the pure elements -0.132 eV/atom. Number 2: energy of formation from the pure elements -0.530 eV/atom. Number 3: energy of formation from the pure elements -0.141 eV/atom. Number 4: energy of formation from the pure elements -0.418 eV/atom.